[1]
YIn2Ni | PBE | optimized geometry

Cell: 4.914 4.914 4.914 Å, 60.00 60.00 60.00°
Sites, in units of the cell vectors:
1 Y 0.500 0.500 0.500
2 Ni 0.000 0.000 0.000
3 In 0.250 0.250 0.250
4 In 0.750 0.750 0.750

**Formation enthalpy at 0 K**: -0.16 eV/atom
**D(E_F)**: 3.3 states/eV/f.u.

***

[2]
ZrAsPt2 | PBE | optimized geometry

Cell: 4.905 4.905 4.905 Å, 128.89 128.89 75.19°
Sites, in units of the cell vectors:
1 As 0.750 0.250 0.500
2 Zr 0.500 0.500 0.000
3 Pt 0.000 0.000 0.000
4 Pt 0.250 0.750 0.500

**Formation enthalpy at 0 K**: -0.60 eV/atom
**D(E_F)**: 2.3 states/eV/f.u.

***

[3]
CaGaPH | PBE | optimized geometry

Cell: 4.209 4.209 9.321 Å, 90.00 90.00 120.00°
Sites, in units of the cell vectors:
1 Ca 0.333 0.667 0.917
2 Ca 0.667 0.333 0.417
3 Ga 0.000 0.000 0.177
4 Ga 0.000 0.000 0.677
5 P 0.667 0.333 0.726
6 P 0.333 0.667 0.226
7 H 0.000 0.000 0.492
8 H 0.000 0.000 0.992

**D(E_F)**: 1.1 states/eV/f.u.
**E**: -0.144 hartree per atom